[1]
The following is a DFT calculation (PBE) of a relaxed structure of HoNpSeN2.

Summary:
Raw total energy ... -8.94 eV/atom
Raw formation energy ... -1.410 eV/atom

```
HoNpSeN2
1.0
3.809 0.000 0.000
0.000 3.809 0.000
-1.904 -1.904 6.060
Np N Ho Se
1 2 1 1
Direct
0.163 0.163 0.325 Np
0.244 0.744 0.489 N
0.744 0.244 0.489 N
0.847 0.847 0.693 Ho
0.502 0.502 0.005 Se
```


[2]
The following is a DFT calculation (PBE) of a relaxed structure of Sm2HoNpN4.

Summary:
Raw total energy ... -9.00 eV/atom
Raw formation energy ... -1.469 eV/atom

```
Sm2HoNpN4
1.0
3.508 0.000 0.000
0.000 6.034 0.127
0.000 -2.088 5.702
Np N Sm Ho
1 4 2 1
Direct
0.000 0.000 0.000 Np
0.500 0.237 0.229 N
0.500 0.763 0.771 N
0.000 0.242 0.773 N
0.000 0.758 0.227 N
0.000 0.500 0.500 Sm
0.500 0.000 0.500 Sm
0.500 0.500 0.000 Ho
```


[3]
The following is a DFT calculation (PBE) of a relaxed structure of Sm3Ho2NpN6.

Summary:
Raw total energy ... -8.71 eV/atom
Raw formation energy ... -1.528 eV/atom

```
Sm3Ho2NpN6
1.0
-3.217 4.827 1.738
-2.631 -5.446 -0.299
3.399 -0.794 4.985
Sm N Ho Np
3 6 2 1
Direct
0.500 0.500 0.500 Sm
0.168 0.832 0.500 Sm
0.832 0.168 0.500 Sm
0.924 0.606 0.771 N
0.606 0.924 0.771 N
0.760 0.760 0.230 N
0.076 0.394 0.229 N
0.240 0.240 0.770 N
0.394 0.076 0.229 N
0.666 0.334 0.000 Ho
0.334 0.666 0.000 Ho
0.000 0.000 0.000 Np
```


[4]
The following is a DFT calculation (PBE) of a relaxed structure of SmHo2NpN4.

Summary:
Raw total energy ... -9.02 eV/atom
Raw formation energy ... -1.507 eV/atom

```
SmHo2NpN4
1.0
3.478 0.000 0.000
0.000 6.017 0.132
0.000 -2.080 5.633
N Np Ho Sm
4 1 2 1
Direct
0.000 0.232 0.754 N
0.000 0.768 0.246 N
0.500 0.760 0.752 N
0.500 0.240 0.248 N
0.000 0.000 0.000 Np
0.000 0.500 0.500 Ho
0.500 0.000 0.500 Ho
0.500 0.500 0.000 Sm
```


[5]
The following is a DFT calculation (PBE) of a relaxed structure of SmHoNpN3.

Summary:
Raw total energy ... -8.95 eV/atom
Raw formation energy ... -1.076 eV/atom

```
SmHoNpN3
1.0
-2.253 0.291 2.767
4.457 -3.822 4.031
3.243 7.899 1.808
N Np Ho Sm
6 2 2 2
Direct
0.750 0.394 0.120 N
0.250 0.606 0.880 N
0.750 0.898 0.149 N
0.250 0.102 0.851 N
0.750 0.223 0.595 N
0.250 0.777 0.405 N
0.750 0.944 0.405 Np
0.250 0.056 0.595 Np
0.250 0.629 0.148 Ho
0.750 0.371 0.852 Ho
0.250 0.164 0.132 Sm
0.750 0.836 0.868 Sm
```


[6]
The following is a DFT calculation (PBE) of a relaxed structure of SrHo2NpN4.

Summary:
Raw total energy ... -8.23 eV/atom
Raw formation energy ... -1.091 eV/atom

```
SrHo2NpN4
1.0
3.535 0.000 0.000
-1.767 6.120 0.000
0.000 0.000 12.420
N Np Sr Ho
8 2 2 4
Direct
0.238 0.475 0.385 N
0.762 0.525 0.615 N
0.519 0.038 0.250 N
0.481 0.962 0.750 N
0.000 0.000 0.500 N
0.000 0.000 0.000 N
0.762 0.525 0.885 N
0.238 0.475 0.115 N
0.119 0.239 0.250 Np
0.881 0.761 0.750 Np
0.852 0.704 0.250 Sr
0.148 0.296 0.750 Sr
0.370 0.739 0.519 Ho
0.370 0.739 0.981 Ho
0.630 0.261 0.481 Ho
0.630 0.261 0.019 Ho
```


[7]
The following is a DFT calculation (PBE) of a relaxed structure of Sr2HoNpN4.

Summary:
Raw total energy ... -7.94 eV/atom
Raw formation energy ... -1.167 eV/atom

```
Sr2HoNpN4
1.0
3.577 0.000 0.000
0.000 6.060 0.124
0.000 -2.101 5.942
Sr Ho N Np
2 1 4 1
Direct
0.500 0.000 0.500 Sr
0.000 0.500 0.500 Sr
0.500 0.500 0.000 Ho
0.500 0.226 0.204 N
0.500 0.774 0.796 N
0.000 0.761 0.197 N
0.000 0.239 0.803 N
0.000 0.000 0.000 Np
```


[8]
The following is a DFT calculation (PBE) of a relaxed structure of Sr3Ho2NpN6.

Summary:
Raw total energy ... -7.65 eV/atom
Raw formation energy ... -1.225 eV/atom

```
Sr3Ho2NpN6
1.0
-4.640 -3.892 -0.799
5.438 -1.174 -2.523
1.381 -1.286 6.044
Ho Sr Np N
2 3 1 6
Direct
0.333 0.667 0.000 Ho
0.667 0.333 0.000 Ho
0.500 0.500 0.500 Sr
0.167 0.833 0.500 Sr
0.833 0.167 0.500 Sr
0.000 0.000 0.000 Np
0.375 0.068 0.204 N
0.625 0.932 0.796 N
0.761 0.761 0.202 N
0.239 0.239 0.798 N
0.932 0.625 0.796 N
0.068 0.375 0.204 N
```